VASP calculation (PBE) on RbWAu3 after structural relaxation.

Cell: 5.200 5.200 5.200 Å, 90.00 90.00 90.00°
Positions (direct):
Rb1 0.500 0.500 0.500
W1 0.000 0.000 0.000
Au1 0.000 0.000 0.500
Au2 0.500 0.000 0.000
Au3 0.000 0.500 0.000

Values from the calculation:
Crystal system = cubic
Formation energy from the elements = 588 meV/atom
Relative energy among the computed polymorphs = 0 meV per atom
Energy = -20.81 eV for the cell shown